# 1
Below is crystalline Zr2SnRh2 at its relaxed geometry, with properties calculated at the PBE-GGA level.

Cell lengths 6.057, 6.057, 6.057 Å; angles 135.51, 135.51, 64.73 degrees
Sites, in units of the cell vectors:
1 Zr 0.250 0.750 0.500
2 Zr 0.750 0.250 0.500
3 Sn 0.000 0.000 0.000
4 Rh 0.379 0.379 0.000
5 Rh 0.621 0.621 0.000

V	107.6	Å³/cell
DOS(E_F)	1.04	states/eV/cell
energy relative to the elements	-451	meV/atom


# 2
Below is crystalline ZrSn2Rh4 at its relaxed geometry, with properties calculated at the PBE-GGA level.

Cell lengths 7.475, 7.475, 7.475 Å; angles 142.37, 142.37, 54.27 degrees
Sites, in units of the cell vectors:
1 Zr 0.000 0.000 0.000
2 Sn 0.381 0.381 0.000
3 Sn 0.619 0.619 0.000
4 Rh 0.000 0.500 0.500
5 Rh 0.186 0.186 0.000
6 Rh 0.500 0.000 0.500
7 Rh 0.814 0.814 0.000

V	154.6	Å³/cell
DOS(E_F)	6.01	states/eV/cell
energy relative to the elements	402	meV/atom


# 3
Below is crystalline SrRh at its relaxed geometry, with properties calculated at the PBE-GGA level.

Cell lengths 7.962, 7.962, 7.962 Å; angles 90.00, 90.00, 90.00 degrees
Sites, in units of the cell vectors:
1 Sr 0.000 0.250 0.500
2 Sr 0.000 0.750 0.500
3 Sr 0.250 0.500 0.000
4 Sr 0.500 0.000 0.250
5 Sr 0.500 0.000 0.750
6 Sr 0.750 0.500 0.000
7 Rh 0.000 0.500 0.250
8 Rh 0.000 0.500 0.750
9 Rh 0.250 0.000 0.500
10 Rh 0.500 0.250 0.000
11 Rh 0.500 0.750 0.000
12 Rh 0.750 0.000 0.500

V	504.7	Å³/cell
DOS(E_F)	37.99	states/eV/cell
energy relative to the elements	898	meV/atom


# 4
Below is crystalline Sr4Rh at its relaxed geometry, with properties calculated at the PBE-GGA level.

Cell lengths 8.535, 8.535, 7.025 Å; angles 90.00, 90.00, 120.23 degrees
Sites, in units of the cell vectors:
1 Sr 0.163 0.837 0.770
2 Sr 0.171 0.329 0.750
3 Sr 0.329 0.171 0.250
4 Sr 0.337 0.663 0.270
5 Sr 0.663 0.337 0.730
6 Sr 0.671 0.829 0.750
7 Sr 0.829 0.671 0.250
8 Sr 0.837 0.163 0.230
9 Rh 0.000 0.000 0.000
10 Rh 0.500 0.500 0.500

V	442.1	Å³/cell
DOS(E_F)	8.16	states/eV/cell
energy relative to the elements	-186	meV/atom


# 5
Below is crystalline SrRh at its relaxed geometry, with properties calculated at the PBE-GGA level.

Cell lengths 5.900, 5.900, 6.204 Å; angles 97.36, 97.36, 46.25 degrees
Sites, in units of the cell vectors:
1 Sr 0.000 0.000 0.000
2 Sr 0.284 0.284 0.720
3 Sr 0.716 0.716 0.280
4 Rh 0.000 0.000 0.500
5 Rh 0.423 0.423 0.317
6 Rh 0.577 0.577 0.683

V	154.5	Å³/cell
DOS(E_F)	4.34	states/eV/cell
energy relative to the elements	-163	meV/atom


# 6
Below is crystalline Sr3Rh at its relaxed geometry, with properties calculated at the PBE-GGA level.

Cell lengths 10.697, 10.697, 10.697 Å; angles 23.49, 23.49, 23.49 degrees
Sites, in units of the cell vectors:
1 Sr 0.000 0.000 0.000
2 Sr 0.217 0.217 0.217
3 Sr 0.783 0.783 0.783
4 Rh 0.500 0.500 0.500

V	170.8	Å³/cell
DOS(E_F)	2.25	states/eV/cell
energy relative to the elements	-62	meV/atom